No. 1
Computed, not measured: Tb2Er6Mg after structural relaxation at the PBE-GGA level of DFT.

Cell: 3.5186 3.5186 25.7744 Å, 90.00 90.00 120.00°
Last column: nearest neighbours and their distance in Å.
Atoms (fractional coordinates):
Er1 0.3333 0.6667 0.8937  3 Mg 3.41, 9 Er 3.45-3.52
Er2 0.0000 0.0000 0.4349  7 Er 3.35-3.52, 3 Tb 3.46
Er3 0.0000 0.0000 0.5651  7 Er 3.35-3.52, 3 Tb 3.46
Er4 0.3333 0.6667 0.1063  3 Mg 3.41, 9 Er 3.45-3.52
Er5 0.0000 0.0000 0.2146  9 Er 3.45-3.52, 3 Tb 3.53
Er6 0.0000 0.0000 0.7854  9 Er 3.45-3.52, 3 Tb 3.53
Tb1 0.3333 0.6667 0.3265  6 Er 3.46-3.53, 6 Tb 3.52
Tb2 0.3333 0.6667 0.6735  6 Er 3.46-3.53, 6 Tb 3.52
Mg1 0.0000 0.0000 0.0000  6 Er 3.41, 6 Mg 3.52

## Properties
Energy relative to the elements, meV/atom: 68
Volume, Å³/f.u.: 276.3
ρ, g/cm3: 8.086
E, eV/atom: -4.180
E above lowest polymorph, meV per atom: 42
Fermi-level density of states, states/eV per cell: 15.4



No. 2
Computed, not measured: CuAgCl2 after structural relaxation at the PBE-GGA level of DFT.

Cell: 3.9446 3.9446 7.3641 Å, 90.00 90.00 127.24°
Last column: nearest neighbours and their distance in Å.
Atoms (fractional coordinates):
Cu1 0.5000 0.5000 0.2500  4 Cl 2.40
Cl1 0.0000 0.0000 0.4732  2 Cu 2.40, 2 Ag 2.69
Cl2 0.0000 0.0000 0.0268  2 Cu 2.40, 2 Ag 2.69
Ag1 0.5000 0.5000 0.7500  4 Cl 2.69

## Properties
Volume, Å³/f.u.: 91.2
ρ, g/cm3: 4.411
E, eV/atom: -2.924
Fermi-level density of states, states/eV per cell: 0.7



No. 3
Computed, not measured: Ba2SmU3O12 after structural relaxation at the PBE-GGA level of DFT.

Cell: 7.2600 7.2600 7.2600 Å, 67.26 67.26 67.26°
Last column: nearest neighbours and their distance in Å.
Atoms (fractional coordinates):
O1 0.7311 0.1135 0.7311  2 U 2.14
O2 0.2689 0.8865 0.2689  2 U 2.14
O3 0.4110 0.8660 0.8660  1 U 2.00
O4 0.1135 0.7311 0.7311  2 U 2.14
O5 0.5890 0.1340 0.1340  1 U 2.00
O6 0.7311 0.7311 0.1135  2 U 2.14
O7 0.8660 0.4110 0.8660  1 U 2.00
O8 0.1340 0.1340 0.5890  1 U 2.00
O9 0.8660 0.8660 0.4110  1 U 2.00
O10 0.1340 0.5890 0.1340  1 U 2.00
O11 0.8865 0.2689 0.2689  2 U 2.14
O12 0.2689 0.2689 0.8865  2 U 2.14
U1 0.0000 0.5000 0.0000  6 O 2.00-2.14
U2 0.5000 0.0000 0.0000  6 O 2.00-2.14
U3 0.0000 0.0000 0.5000  6 O 2.00-2.14
Ba1 0.6223 0.6223 0.6223  3 O 2.62
Ba2 0.3777 0.3777 0.3777  3 O 2.62
Sm1 0.0000 0.0000 0.0000  12 O 2.65-2.96

## Properties
Volume, Å³/f.u.: 312.6
ρ, g/cm3: 7.071
E, eV/atom: -8.768
Fermi-level density of states, states/eV per cell: 7.9



No. 4
Computed, not measured: BaZr2Sc after structural relaxation at the PBE-GGA level of DFT.

Cell: 3.3400 3.3400 10.4114 Å, 90.00 90.00 90.00°
Last column: nearest neighbours and their distance in Å.
Atoms (fractional coordinates):
Zr1 0.0000 0.0000 0.0021  8 Zr 3.14-3.34, 4 Sc 3.16
Zr2 0.5000 0.5000 0.2012  8 Zr 3.14-3.34
Sc1 0.5000 0.5000 0.8004  4 Zr 3.16, 4 Sc 3.34
Ba1 0.0000 0.0000 0.4963  4 Ba 3.34

## Properties
Energy relative to the elements, meV/atom: 282
Volume, Å³/f.u.: 116.1
ρ, g/cm3: 5.215
E, eV/atom: -6.055
E above lowest polymorph, meV per atom: 0
Fermi-level density of states, states/eV per cell: 6.9



No. 5
Computed, not measured: TbDyZnCu after structural relaxation at the PBE-GGA level of DFT.

Cell: 3.5196 3.5196 7.0823 Å, 90.00 90.00 90.00°
Last column: nearest neighbours and their distance in Å.
Atoms (fractional coordinates):
Dy1 0.0000 0.0000 0.3497  4 Cu 3.01, 4 Zn 3.08
Tb1 0.0000 0.0000 0.8633  4 Cu 3.04, 4 Zn 3.09
Zn1 0.5000 0.5000 0.6048  4 Dy 3.08, 4 Tb 3.09
Cu1 0.5000 0.5000 0.1101  4 Dy 3.01, 4 Tb 3.04

## Properties
Energy relative to the elements, meV/atom: -290
Volume, Å³/f.u.: 87.7
ρ, g/cm3: 8.524
E, eV/atom: -3.941
E above lowest polymorph, meV per atom: 0
Fermi-level density of states, states/eV per cell: 3.0